A relaxed structure of KGaAu6, computed with PBE.

a = 6.9952 Å, b = 6.9952 Å, c = 13.0818 Å
α = 90.00°, β = 90.00°, γ = 120.00°
Space group R-3m (No. 166, hexagonal axes)
Asymmetric unit:
K 0.0000 0.0000 0.0000
Ga 0.0000 0.0000 0.5000
Au 0.0689 0.5345 0.8959

Values from the calculation:
E_tot (eV per cell): -74.06
Density of states at the Fermi level (states/eV per atom): 0.39
Crystal system: trigonal
E_form (eV per atom): -0.112
M_tot (μB per formula unit): 0.0

=====

A relaxed structure of Li2TlI4, computed with PBE.

a = 6.187 Å, b = 6.187 Å, c = 15.311 Å
α = 90.00°, β = 90.00°, γ = 90.00°
Space group I4/mmm (No. 139)
Asymmetric unit:
Li 0.000 0.000 0.123
Tl 0.000 0.000 0.500
I 0.000 0.000 0.292
I 0.000 0.500 0.000

Values from the calculation:
E_tot (eV per cell): -33.15
Density of states at the Fermi level (states/eV per atom): 0.94
Formation energy from raw total energies (meV per atom): -597
Crystal system: tetragonal
M_tot (μB per formula unit): 0.0

=====

A relaxed structure of AcTcSnO6, computed with PBE.

a = 5.4143 Å, b = 5.4143 Å, c = 10.6833 Å
α = 90.00°, β = 90.00°, γ = 120.00°
Space group P-31c (No. 163)
Asymmetric unit:
Ac 0.0000 0.0000 0.0000
Tc 0.3333 0.6667 0.2500
Sn 0.3333 0.6667 0.7500
O 0.0152 0.3802 0.1453

Values from the calculation:
E_tot (eV per cell): -133.17
Density of states at the Fermi level (states/eV per atom): 0.66
Formation energy from raw total energies (meV per atom): -2040
Crystal system: trigonal
M_tot (μB per formula unit): 2.0